# 1
Material: ZrCdBi2
Method: DFT, PBE
State: relaxed

a = 6.8061 Å, b = 6.8061 Å, c = 8.2462 Å
α = 65.63°, β = 65.63°, γ = 90.00°
Atoms (fractional coordinates):
Bi  0.6149  0.1250  0.2500
Bi  0.1351  0.6250  0.2500
Bi  0.3750  0.3851  0.7500
Bi  0.8750  0.8649  0.7500
Zr  0.5000  0.5000  0.0000
Zr  0.2500  0.7500  0.5000
Cd  0.0000  0.0000  0.0000
Cd  0.7500  0.2500  0.5000

Formation enthalpy at 0 K in eV/atom: 0.213
Total DFT energy (no corrections) in hartree per atom: -0.15044
Symmetry: I-42d
Calculated volume in Å³/f.u.: 155.1
Magnetic moment in μB per formula unit: 0.00

---

# 2
Material: Lu2Te3
Method: DFT, PBE
State: relaxed

a = 6.0720 Å, b = 6.0720 Å, c = 11.0540 Å
α = 74.06°, β = 74.06°, γ = 90.00°
Atoms (fractional coordinates):
Lu  0.6687  0.1687  0.6625
Lu  0.8313  0.3313  0.3375
Lu  0.0000  0.0000  0.0000
Lu  0.2500  0.7500  0.5000
Te  0.1412  0.8839  0.2322
Te  0.1161  0.8588  0.7678
Te  0.1161  0.3734  0.7678
Te  0.6266  0.8839  0.2322
Te  0.2872  0.2872  0.4256
Te  0.7128  0.7128  0.5744

Total DFT energy (no corrections) in hartree per atom: -0.15857
Symmetry: I-4m2
Calculated volume in Å³/f.u.: 187.8
Magnetic moment in μB per formula unit: 0.00
Formation energy from raw total energies in kcal/mol of atoms: -14.33

---

# 3
Material: Cs2Cd2Bi
Method: DFT, PBE
State: relaxed

a = 5.1326 Å, b = 7.7007 Å, c = 15.7133 Å
α = 122.09°, β = 90.00°, γ = 109.47°
Atoms (fractional coordinates):
Cs  0.7223  0.4446  0.1045
Cs  0.4239  0.8477  0.6323
Cs  0.2777  0.5554  0.8955
Cs  0.5761  0.1523  0.3677
Cd  0.9824  0.9647  0.8880
Cd  0.8848  0.7696  0.4113
Cd  0.0176  0.0353  0.1120
Cd  0.1152  0.2304  0.5887
Bi  0.2586  0.5171  0.3138
Bi  0.7414  0.4829  0.6862

Formation enthalpy at 0 K in eV/atom: -0.216
Total DFT energy (no corrections) in hartree per atom: -0.06247
Symmetry: C2/m
Calculated volume in Å³/f.u.: 241.9
ΔE to the lowest computed polymorph in meV per atom: 0.0
Magnetic moment in μB per formula unit: 0.00

---

- Among the records above, which one has the highest total DFT energy (no corrections)?
  Cs2Cd2Bi